VASP calculation (meta-GGA SCAN) on Os2W at its PBEsol-relaxed geometry.

**Fermi-level density of states**: 2.36 states/eV/f.u.
**Symmetry**: Cmcm, No. 63
**Calculated volume**: 14.51 Å³ per atom
**E**: -213.32 eV per formula unit

Unit cell a=4.7835 b=4.7835 c=4.4031 alpha=90.00 beta=90.00 gamma=59.80
Sites, in units of the cell vectors:
Os1 0.0013 0.3364 0.2500
Os2 0.3364 0.0013 0.7500
Os3 0.6636 0.9987 0.2500
Os4 0.9987 0.6636 0.7500
W1 0.3253 0.6747 0.2500
W2 0.6747 0.3253 0.7500